[1]
Al12V3Si5: relaxed, GGA-PBE.

a b c (Å): 12.9215 12.9215 12.9215
angles (deg): 109.47 109.47 109.47
Fractional coordinates of all 80 atoms:
Al 0.7722 0.4417 0.3682
Al 0.4265 0.3682 0.5960
Al 0.9417 0.3682 0.2722
Al 0.1318 0.4040 0.0735
Al 0.2278 0.5583 0.6318
Si 0.5000 0.5000 0.0000
Al 0.0735 0.1695 0.4417
Al 0.8305 0.9265 0.0583
V 0.3750 0.7500 0.6250
Si 0.0000 0.5000 0.5000
V 0.6250 0.3750 0.7500
Si 0.5000 0.5000 0.5000
Al 0.0960 0.1695 0.2278
Al 0.7278 0.5960 0.1695
Si 0.3750 0.1250 0.7500
V 0.8750 0.7500 0.1250
Al 0.5960 0.8682 0.4265
Si 0.0000 0.5000 0.0000
V 0.2500 0.1250 0.3750
Si 0.0000 0.0000 0.0000
Al 0.4040 0.1318 0.5735
Si 0.5000 0.0000 0.5000
Al 0.1695 0.0960 0.7278
V 0.7500 0.8750 0.6250
Si 0.1250 0.3750 0.2500
Al 0.0960 0.9265 0.3682
Si 0.5000 0.0000 0.0000
Al 0.6318 0.5735 0.9040
Si 0.0000 0.0000 0.5000
Al 0.0583 0.6318 0.7278
Al 0.4417 0.6695 0.0735
Al 0.9265 0.0960 0.8682
Al 0.9417 0.5735 0.1695
Al 0.6318 0.0583 0.2278
Al 0.5735 0.6318 0.4040
Al 0.5960 0.7278 0.6695
Si 0.2500 0.3750 0.6250
Al 0.5735 0.9417 0.6695
Al 0.6695 0.4417 0.5735
V 0.7500 0.3750 0.1250
Al 0.5583 0.3305 0.9265
Al 0.2722 0.4040 0.8305
Al 0.1318 0.7278 0.5583
Al 0.7722 0.3305 0.9040
V 0.8750 0.1250 0.2500
V 0.1250 0.8750 0.7500
Al 0.3682 0.4265 0.0960
V 0.1250 0.2500 0.8750
Si 0.6250 0.8750 0.2500
Al 0.8305 0.9040 0.2722
Al 0.8682 0.2722 0.4417
Al 0.3682 0.9417 0.7722
Al 0.5583 0.2278 0.1318
Al 0.2278 0.6695 0.0960
Al 0.0735 0.9040 0.1318
Al 0.0583 0.4265 0.8305
Al 0.4040 0.2722 0.3305
Al 0.3305 0.7722 0.4040
Si 0.7500 0.1250 0.8750
V 0.6250 0.2500 0.3750
Al 0.4417 0.7722 0.8682
Al 0.4265 0.0583 0.3305
Al 0.3305 0.5583 0.4265
Si 0.2500 0.8750 0.1250
Al 0.1695 0.0735 0.9417
Al 0.8682 0.5960 0.9265
V 0.2500 0.6250 0.8750
Si 0.8750 0.6250 0.7500
Al 0.9040 0.8305 0.7722
Si 0.3750 0.2500 0.1250
Al 0.2722 0.8682 0.9417
Al 0.7278 0.1318 0.0583
Si 0.8750 0.2500 0.6250
V 0.3750 0.6250 0.2500
Al 0.6695 0.2278 0.5960
Si 0.1250 0.7500 0.3750
Si 0.6250 0.7500 0.8750
Al 0.9040 0.0735 0.6318
Al 0.9265 0.8305 0.5583
Si 0.7500 0.6250 0.3750

The uncorrected formation energy comes out at 0.43 eV/atom. The calculation puts the density at 2468 kg/m3. Its density of states at the Fermi level is 58.25 states/eV/cell. As for the space group: Ia-3d. Its total energy is -4.542 eV per atom.


[2]
AlVSi: relaxed, GGA-PBE.

a b c (Å): 4.4680 8.4129 4.4615
angles (deg): 90.00 100.13 90.00
Fractional coordinates of all 12 atoms:
Si 0.7557 0.4604 0.7353
Si 0.2443 0.9604 0.7647
Si 0.2443 0.4604 0.2647
V 0.2650 0.3064 0.7685
V 0.7350 0.3064 0.2315
V 0.7350 0.8064 0.7315
Al 0.2441 0.6327 0.7617
Al 0.7559 0.1327 0.7383
Al 0.2441 0.1327 0.2617
Al 0.7559 0.6327 0.2383
V 0.2650 0.8064 0.2685
Si 0.7557 0.9604 0.2353

The uncorrected formation energy comes out at -0.25 eV/atom. The calculation puts the density at 4265 kg/m3. Its density of states at the Fermi level is 5.09 states/eV/cell. As for the space group: C2. Its total energy is -6.348 eV per atom.


[3]
AlV2Si: relaxed, GGA-PBE.

a b c (Å): 2.6387 7.8604 5.2782
angles (deg): 90.00 100.35 90.00
Fractional coordinates of all 8 atoms:
Si 0.0000 0.0000 0.0000
V 0.5000 0.7500 0.7500
Si 0.0000 0.5000 0.5000
V 0.5000 0.7500 0.2500
Al 0.0000 0.5000 0.0000
V 0.5000 0.2500 0.2500
Al 0.0000 0.0000 0.5000
V 0.5000 0.2500 0.7500

The relative energy among the computed polymorphs comes out at 0.049 eV per atom. The uncorrected formation energy comes out at -0.26 eV/atom. The calculation puts the density at 4840 kg/m3. Its density of states at the Fermi level is 5.51 states/eV/cell. As for the space group: C2/m. Its total energy is -7.112 eV per atom.


[4]
AlVSi: relaxed, GGA-PBE.

a b c (Å): 4.9274 4.8501 8.1994
angles (deg): 90.00 121.88 90.00
Fractional coordinates of all 12 atoms:
Al 0.5000 0.8473 0.0000
Al 0.0000 0.5422 0.5000
Si 0.4919 0.8734 0.3394
Al 0.0000 0.0422 0.0000
V 0.9730 0.5382 0.8320
Si 0.5081 0.3734 0.1606
Al 0.5000 0.3473 0.5000
V 0.0270 0.5382 0.1680
Si 0.5081 0.8734 0.6606
Si 0.4919 0.3734 0.8394
V 0.0270 0.0382 0.6680
V 0.9730 0.0382 0.3320

The uncorrected formation energy comes out at -0.23 eV/atom. The calculation puts the density at 4232 kg/m3. Its density of states at the Fermi level is 5.71 states/eV/cell. As for the space group: C2. Its total energy is -6.325 eV per atom.